VASP calculation (PBE) on a geometry-optimized Tm2AuSe structure.

Computed properties:
The value obtained for the final energy is -5.2290 eV/atom.

Geometry as CIF:
```
data_Tm2AuSe
_cell_length_a 3.938
_cell_length_b 22.608
_cell_length_c 4.206
_cell_angle_alpha 90.00
_cell_angle_beta 90.00
_cell_angle_gamma 90.00
_space_group_name_H-M_alt 'C m c m'
_space_group_IT_number 63
_space_group_name_Hall '-C 2c 2'
loop_
_atom_site_label
_atom_site_type_symbol
_atom_site_fract_x
_atom_site_fract_y
_atom_site_fract_z
Tm1 Tm 0.000 0.067 0.250
Tm2 Tm 0.000 0.321 0.250
Au1 Au 0.000 0.453 0.250
Se1 Se 0.000 0.194 0.250
```